LaBiRu3 PBE relaxed; VASP energy = -5.79 eV/atom; volume = 116.3 Å³ per cell; energy above the lowest structure with this stoichiometry = 0.489 eV per atom; energy of formation from the pure elements = 35.4 kcal/mol of atoms; size of the total moment = 1.63 μB per cell
1.0
-3.0928 -3.2705 1.8862
-1.3204 -1.3473 -4.5012
3.5370 -3.3627 -0.0310
Ru La Bi
3 1 1
direct
0.5000 0.0000 0.0000
0.0000 0.5000 0.0000
0.0000 0.0000 0.5000
0.0000 0.0000 0.0000
0.5000 0.5000 0.5000

---

AcSmNiPd PBE relaxed; VASP energy = -5.48 eV/atom; volume = 99.5 Å³ per cell; energy of formation from the pure elements = -12.3 kcal/mol of atoms; size of the total moment = 0.00 μB per cell
1.0
-3.1889 2.0479 -1.2507
-2.7315 -2.8735 2.2597
1.9045 2.1616 5.0509
Pd Ni Sm Ac
1 1 1 1
direct
0.4251 0.0000 0.8503
0.5830 0.5000 0.1659
0.1333 0.0000 0.2665
0.8587 0.5000 0.7173

---

AlTe3 PBE relaxed; VASP energy = -3.27 eV/atom; volume = 117.7 Å³ per cell; raw formation energy = 1.83 kJ/mol of atoms; size of the total moment = 0.00 μB per cell
1.0
-4.8602 2.8623 -3.2109
-5.8389 -2.8334 0.0580
4.7246 2.4427 3.7195
Te Al
3 1
direct
0.2999 0.6697 0.6302
0.9606 0.3303 0.6302
0.5911 0.5000 0.0911
0.9818 0.0000 0.9818

---

AcY2Cd PBE relaxed; VASP energy = -4.55 eV/atom; volume = 132.3 Å³ per cell; energy above the lowest structure with this stoichiometry = 0.073 eV per atom; energy of formation from the pure elements = -1.5 kcal/mol of atoms; size of the total moment = 0.00 μB per cell
1.0
-3.2788 -1.7946 0.1106
-0.0993 -3.6713 0.7036
-1.8989 0.2492 10.9685
Y Cd Ac
2 1 1
direct
0.7401 0.7401 0.7796
0.2599 0.2599 0.2204
0.0000 0.0000 0.0000
0.5000 0.5000 0.5000

---

RbVP2 PBE relaxed; VASP energy = -5.52 eV/atom; volume = 238.2 Å³ per cell; energy above the lowest structure with this stoichiometry = 0.000 eV per atom; energy of formation from the pure elements = -6.8 kcal/mol of atoms; size of the total moment = 0.74 μB per cell
1.0
-1.0528 -5.2210 -2.8224
5.9319 -1.0185 -0.3287
2.2306 -6.2029 4.2058
V Rb P
2 2 4
direct
0.5000 0.5000 0.0000
0.2500 0.7500 0.5000
0.0000 0.0000 0.0000
0.7500 0.2500 0.5000
0.3750 0.6250 0.2500
0.3750 0.1250 0.2500
0.8750 0.6250 0.7500
0.3750 0.6250 0.7500

---

TbEuTh PBE relaxed; VASP energy = -7.35 eV/atom; volume = 103.6 Å³ per cell; energy above the lowest structure with this stoichiometry = 0.009 eV per atom; energy of formation from the pure elements = 2.1 kcal/mol of atoms; size of the total moment = 7.67 μB per cell
1.0
3.6263 0.0000 0.0000
0.0000 3.6263 0.0000
-1.8132 -1.8132 7.8746
Tb Th Eu
1 1 1
direct
0.6775 0.6775 0.3549
0.3264 0.3264 0.6528
0.9961 0.9961 0.9923

---

UBeNiC PBE relaxed; VASP energy = -7.69 eV/atom; volume = 98.4 Å³ per cell; energy of formation from the pure elements = -4.2 kcal/mol of atoms; size of the total moment = 0.08 μB per cell
1.0
-1.7361 -2.8085 1.2639
-0.2134 -1.3376 -3.2656
6.8402 -3.7401 1.0849
Be U Ni C
2 2 2 2
direct
0.5000 0.0000 0.6603
0.0000 0.5000 0.3397
0.5000 0.0000 0.1691
0.0000 0.5000 0.8309
0.5000 0.5000 0.5000
0.0000 0.0000 0.5000
0.0000 0.5000 0.1193
0.5000 0.0000 0.8807

---

Er9Al5S21 PBE relaxed; VASP energy = -5.89 eV/atom; volume = 1453.3 Å³ per cell; raw formation energy = -164.73 kJ/mol of atoms; size of the total moment = 0.00 μB per cell
1.0
-5.8027 9.7323 -0.7237
-9.2019 -6.4852 -1.4765
-0.5951 -0.4012 11.3313
S Al Er
42 10 18
direct
0.5094 0.1726 0.8395
0.3821 0.8119 0.2971
0.9629 0.0595 0.4754
0.0064 0.5369 0.4469
0.9991 0.2398 0.1048
0.2023 0.1061 0.6895
0.6228 0.7311 0.4905
0.2852 0.3839 0.1550
0.6278 0.7162 0.1563
0.0460 0.7998 0.9444
0.7311 0.4905 0.6228
0.9444 0.0460 0.7998
0.1048 0.9991 0.2398
0.6895 0.2023 0.1061
0.7998 0.9444 0.0460
0.4166 0.3119 0.5580
0.1061 0.6895 0.2023
0.7654 0.6665 0.8956
0.6665 0.8956 0.7654
0.4905 0.6228 0.7311
0.8956 0.7654 0.6665
0.4754 0.9629 0.0595
0.3119 0.5580 0.4166
0.5580 0.4166 0.3119
0.2971 0.3821 0.8119
0.7823 0.3521 0.8664
0.5369 0.4469 0.0064
0.1563 0.6278 0.7162
0.3839 0.1550 0.2852
0.3521 0.8664 0.7823
0.8664 0.7823 0.3521
0.0086 0.3392 0.6735
0.6735 0.0086 0.3392
0.0595 0.4754 0.9629
0.7162 0.1563 0.6278
0.8395 0.5094 0.1726
0.1550 0.2852 0.3839
0.1726 0.8395 0.5094
0.2398 0.1048 0.9991
0.3392 0.6735 0.0086
0.8119 0.2971 0.3821
0.4469 0.0064 0.5369
0.8834 0.2227 0.5483
0.8620 0.8620 0.8620
0.2227 0.5483 0.8834
0.3607 0.3607 0.3607
0.1787 0.1787 0.1787
0.5483 0.8834 0.2227
0.7192 0.3876 0.0476
0.3876 0.0476 0.7192
0.0476 0.7192 0.3876
0.6794 0.6794 0.6794
0.2454 0.8752 0.0980
0.0678 0.4533 0.2250
0.7369 0.1143 0.8823
0.2250 0.0678 0.4533
0.0980 0.2454 0.8752
0.8752 0.0980 0.2454
0.5864 0.2091 0.4323
0.3966 0.7662 0.5520
0.5520 0.3966 0.7662
0.4533 0.2250 0.0678
0.1143 0.8823 0.7369
0.2091 0.4323 0.5864
0.4323 0.5864 0.2091
0.9301 0.5449 0.7728
0.7728 0.9301 0.5449
0.8823 0.7369 0.1143
0.7662 0.5520 0.3966
0.5449 0.7728 0.9301

---

Th7Mn2Tl2 PBE relaxed; VASP energy = -6.80 eV/atom; volume = 308.6 Å³ per cell; energy of formation from the pure elements = 0.4 kcal/mol of atoms; size of the total moment = 0.00 μB per cell
1.0
9.8109 -0.9551 0.8670
2.9313 -5.4009 7.7561
-3.8552 2.0122 -8.8886
Th Tl Mn
7 2 2
direct
0.9576 0.5000 0.4576
0.8968 0.1605 0.7363
0.5758 0.8395 0.7363
0.9240 0.8238 0.1002
0.2764 0.1762 0.1002
0.5556 0.6507 0.9048
0.2541 0.3493 0.9048
0.6232 0.5000 0.1232
0.2570 0.0000 0.2570
0.6936 0.2808 0.4128
0.1320 0.7192 0.4128

---

ScMn6 PBE relaxed; VASP energy = -7.95 eV/atom; volume = 109.6 Å³ per cell; energy above the lowest structure with this stoichiometry = 0.829 eV per atom; energy of formation from the pure elements = 18.7 kcal/mol of atoms; size of the total moment = 0.00 μB per cell
1.0
5.2217 0.0000 0.0000
-1.7406 4.9231 0.0000
-1.7406 -2.4615 4.2635
Mn Sc
6 1
direct
0.5000 0.7500 0.2500
0.5000 0.2500 0.7500
0.2500 0.7500 0.5000
0.7500 0.2500 0.5000
0.7500 0.5000 0.2500
0.2500 0.5000 0.7500
0.0000 0.0000 0.0000

---

Sc2TlPb PBE relaxed; VASP energy = -4.80 eV/atom; volume = 110.9 Å³ per cell; energy above the lowest structure with this stoichiometry = 0.199 eV per atom; energy of formation from the pure elements = -2.8 kcal/mol of atoms; size of the total moment = 0.00 μB per cell
1.0
-4.2396 1.2254 -0.7214
-1.7912 -0.4363 -4.0740
-3.9720 -5.6443 -0.1032
Tl Sc Pb
1 2 1
direct
0.4973 0.4973 0.5081
0.2589 0.2589 0.2234
0.0767 0.0767 0.7700
0.6672 0.6672 0.9985

---

Pr2YHo12 PBE relaxed; VASP energy = -4.40 eV/atom; volume = 1028.2 Å³ per cell; energy of formation from the pure elements = 7.5 kcal/mol of atoms; size of the total moment = 0.00 μB per cell
1.0
6.4119 0.0000 0.0000
0.0000 6.4119 0.0000
0.0000 0.0000 25.0087
Ho Y Pr
24 2 4
direct
0.5000 0.5000 0.3408
0.0000 0.0000 0.3408
0.6863 0.8137 0.1161
0.6863 0.1863 0.8839
0.6688 0.1688 0.4401
0.5000 0.5000 0.2154
0.3312 0.1688 0.5599
0.8312 0.6688 0.4401
0.0000 0.0000 0.2154
0.5000 0.5000 0.7846
0.3137 0.1863 0.1161
0.5000 0.5000 0.6592
0.1688 0.3312 0.4401
0.0000 0.0000 0.6592
0.1863 0.6863 0.1161
0.8312 0.3312 0.5599
0.1688 0.6688 0.5599
0.3137 0.8137 0.8839
0.6688 0.8312 0.5599
0.0000 0.0000 0.7846
0.8137 0.6863 0.8839
0.3312 0.8312 0.4401
0.8137 0.3137 0.1161
0.1863 0.3137 0.8839
0.5000 0.0000 0.0000
0.0000 0.5000 0.0000
0.0000 0.5000 0.7287
0.5000 0.0000 0.7287
0.5000 0.0000 0.2713
0.0000 0.5000 0.2713